(1)
Entry from Alexandria via LeMat-Bulk: RbHg3Te after structural relaxation (PBE).

Properties
The value obtained for the uncorrected formation energy is -0.01 eV per atom. The calculation puts the total DFT energy (no corrections) at -1.017 eV per atom. The size of the total moment is 0.0 μB/f.u.

The structure in extended XYZ format:
```
5
Lattice="-1.983 5.596 0.107 -4.785 -1.636 -3.112 -2.903 -1.125 5.056" Properties=species:S:1:pos:R:3 pbc="T T T"
Te 0.000 0.000 0.000
Hg -2.393 -0.818 -1.556
Hg -1.452 -0.563 2.528
Hg -0.991 2.798 0.053
Rb -4.836 1.417 1.026
```

(2)
Entry from Alexandria via LeMat-Bulk: SrCl3 after structural relaxation (PBE).

Properties
The value obtained for the uncorrected formation energy is -1.55 eV per atom. The calculation puts the total DFT energy (no corrections) at -3.353 eV per atom. The size of the total moment is 1.0 μB/f.u.

The structure in extended XYZ format:
```
4
Lattice="2.672 0.000 8.259 -1.336 2.314 8.259 -1.336 -2.314 8.259" Properties=species:S:1:pos:R:3 pbc="T T T"
Sr 0.000 0.000 12.389
Cl 0.000 0.000 0.000
Cl 0.000 0.000 21.894
Cl 0.000 0.000 2.883
```

(3)
Entry from Alexandria via LeMat-Bulk: NdSm7Dy2 after structural relaxation (PBE).

Properties
As for the formation energy: 0.658 eV per atom. The calculation puts the total DFT energy (no corrections) at -4.043 eV per atom. The size of the total moment is 0.0 μB/f.u.

The structure in extended XYZ format:
```
10
Lattice="-4.383 -3.649 -0.155 3.788 -4.842 6.858 -5.845 6.955 1.513" Properties=species:S:1:pos:R:3 pbc="T T T"
Nd 0.000 0.000 0.000
Sm 1.623 -2.190 5.657
Sm -3.679 4.304 2.715
Sm -3.674 -0.081 0.798
Sm -2.765 -1.454 7.419
Sm -1.443 -2.813 2.036
Sm -4.996 1.278 6.181
Sm -3.220 -0.768 4.108
Dy -1.255 -3.173 5.198
Dy -5.184 1.638 3.019
```

(4)
Entry from Alexandria via LeMat-Bulk: Rb3Hg7Pd2 after structural relaxation (PBE).

Properties
As for the formation energy: -0.245 eV per atom. The calculation puts the total DFT energy (no corrections) at -1.528 eV per atom. The size of the total moment is 0.0 μB/f.u.

The structure in extended XYZ format:
```
12
Lattice="5.413 0.000 0.000 0.000 5.328 -1.039 0.000 -0.104 13.645" Properties=species:S:1:pos:R:3 pbc="T T T"
Rb 2.706 2.664 -0.520
Rb 2.706 3.628 4.420
Rb 2.706 1.597 8.186
Hg 0.000 2.052 10.518
Hg 0.000 4.156 7.131
Hg 0.000 0.000 0.000
Hg 0.000 3.173 2.088
Hg 2.706 0.503 2.579
Hg 2.706 4.721 10.027
Hg 0.000 1.068 5.475
Pd 0.000 4.698 9.908
Pd 0.000 0.526 2.698
```

(5)
Entry from Alexandria via LeMat-Bulk: Hg2PCl after structural relaxation (PBE).

Properties
The value obtained for the uncorrected formation energy is 0.45 eV per atom. The calculation puts the total DFT energy (no corrections) at -1.513 eV per atom. The size of the total moment is 0.0 μB/f.u.

The structure in extended XYZ format:
```
4
Lattice="-0.121 -2.283 2.129 2.644 -2.944 -3.008 4.881 1.956 2.376" Properties=species:S:1:pos:R:3 pbc="T T T"
Cl 3.762 -0.494 -0.316
Hg 0.000 0.000 0.000
Hg 1.262 -2.614 -0.440
P 2.380 -0.164 2.252
```

(6)
Entry from Alexandria via LeMat-Bulk: Be2InW after structural relaxation (PBE).

Properties
As for the formation energy: 0.363 eV per atom. The calculation puts the total DFT energy (no corrections) at -5.423 eV per atom. The size of the total moment is 0.0 μB/f.u.

The structure in extended XYZ format:
```
4
Lattice="5.082 -0.002 0.002 2.651 4.336 -0.002 -3.810 -2.268 2.484" Properties=species:S:1:pos:R:3 pbc="T T T"
Be 7.519 4.213 0.000
Be 2.717 0.031 1.243
W 1.359 2.120 1.241
In 3.930 2.202 0.000
```

(7)
Entry from Alexandria via LeMat-Bulk: Ho2HgPb after structural relaxation (PBE).

Properties
As for the formation energy: -0.276 eV per atom. The calculation puts the total DFT energy (no corrections) at -3.568 eV per atom. The size of the total moment is 0.0 μB/f.u.

The structure in extended XYZ format:
```
4
Lattice="-1.472 -4.039 1.286 2.370 -3.675 -1.002 3.839 -1.937 6.138" Properties=species:S:1:pos:R:3 pbc="T T T"
Ho 3.001 -2.087 4.707
Ho 1.128 -2.423 1.509
Hg 2.369 -4.825 3.210
Pb 0.609 -5.141 0.207
```

(8)
Entry from Alexandria via LeMat-Bulk: PrDy2Cd2In2 after structural relaxation (PBE).

Properties
As for the formation energy: -0.276 eV per atom. The calculation puts the total DFT energy (no corrections) at -3.317 eV per atom. The size of the total moment is 0.0 μB/f.u.

The structure in extended XYZ format:
```
7
Lattice="-2.591 4.011 -1.406 -3.761 -0.472 -3.227 -7.854 -0.116 5.331" Properties=species:S:1:pos:R:3 pbc="T T T"
Pr 0.000 0.000 0.000
Dy -5.624 0.388 2.659
Dy -8.582 3.036 -1.960
Cd -5.504 2.073 -1.568
Cd -8.702 1.351 2.266
In -10.795 2.536 0.692
In -3.411 0.888 0.007
```

(9)
Entry from Alexandria via LeMat-Bulk: AcH2Pt after structural relaxation (PBE).

Properties
The calculation puts the total DFT energy (no corrections) at -4.920 eV per atom. The size of the total moment is 0.0 μB/f.u.

The structure in extended XYZ format:
```
8
Lattice="4.083 0.000 0.000 0.000 4.119 0.000 -2.041 0.000 7.555" Properties=species:S:1:pos:R:3 pbc="T T T"
Ac 2.041 3.924 2.191
Ac 0.000 1.864 5.363
H 0.000 3.924 3.778
H 2.041 1.864 3.777
H 0.000 1.865 2.507
H 2.041 3.925 5.047
Pt 0.000 1.864 0.853
Pt 2.041 3.924 6.701
```

(10)
Entry from Alexandria via LeMat-Bulk: In2FeSi after structural relaxation (PBE).

Properties
The value obtained for the uncorrected formation energy is 0.44 eV per atom. The calculation puts the total DFT energy (no corrections) at -4.403 eV per atom. The size of the total moment is 2.1 μB/f.u.

The structure in extended XYZ format:
```
4
Lattice="-2.334 -0.454 -2.817 2.854 -0.280 -2.319 0.106 -5.355 0.776" Properties=species:S:1:pos:R:3 pbc="T T T"
Fe 0.339 -4.383 -1.986
In 0.105 -5.338 0.773
In 0.053 -2.695 0.390
Si 0.286 -1.706 -2.374
```

(11)
Entry from Alexandria via LeMat-Bulk: Ba2DyBiO5 after structural relaxation (PBE).

Properties
The value obtained for the uncorrected formation energy is -2.40 eV per atom. The calculation puts the total DFT energy (no corrections) at -6.528 eV per atom. The size of the total moment is 0.0 μB/f.u.

The structure in extended XYZ format:
```
18
Lattice="3.685 0.000 0.000 -1.843 7.290 0.000 0.000 0.000 12.769" Properties=species:S:1:pos:R:3 pbc="T T T"
Ba 1.843 5.051 9.889
Ba 0.000 1.272 8.625
Ba 0.000 2.239 3.505
Ba 1.843 6.018 2.241
Dy 1.843 3.894 6.609
Dy 0.000 3.396 0.225
Bi 1.843 0.478 12.173
Bi 0.000 6.811 5.789
O 0.000 5.636 0.220
O 1.843 3.030 11.631
O 0.000 7.063 9.991
O 0.000 3.837 8.188
O 1.843 6.220 7.038
O 1.843 1.654 6.604
O 0.000 4.260 5.246
O 1.843 0.226 3.607
O 1.843 3.452 1.804
O 0.000 1.070 0.654
```

(12)
Entry from Alexandria via LeMat-Bulk: RbIrAu2 after structural relaxation (PBE).

Properties
As for the formation energy: 0.447 eV per atom. The calculation puts the total DFT energy (no corrections) at -3.649 eV per atom. The size of the total moment is 0.0 μB/f.u.

The structure in extended XYZ format:
```
8
Lattice="-4.732 2.565 -0.759 -0.016 -1.569 -5.205 -6.688 -6.805 -0.768" Properties=species:S:1:pos:R:3 pbc="T T T"
Ir 0.000 0.000 0.000
Ir -6.897 -1.871 -2.254
Au -5.815 0.347 -1.507
Au -5.822 -0.437 -4.109
Au -6.793 -4.338 -1.511
Au -9.159 -3.055 -1.891
Rb -2.374 0.498 -2.982
Rb -4.539 -3.938 -4.477
```